# Ag2Pd2I, optimized geometry, DFT PBE
data_Ag2Pd2I
_chemical_formula_sum 'Ag4 Pd4 I2'
_cell_length_a 7.129
_cell_length_b 7.129
_cell_length_c 3.930
_cell_angle_alpha 90.00
_cell_angle_beta 90.00
_cell_angle_gamma 90.00
_space_group_name_H-M_alt 'P 4/m b m'
_space_group_IT_number 127
_space_group_name_Hall '-P 4 2ab'
loop_
_atom_site_label
_atom_site_type_symbol
_atom_site_fract_x
_atom_site_fract_y
_atom_site_fract_z
Ag1 Ag 0.147 0.353 0.000
Pd1 Pd 0.146 0.646 0.500
I1 I 0.000 0.000 0.500
# - Volume: 199.7 Å³/cell
# - Energy above the most stable polymorph in this dataset: 0.0 meV per atom
# - Crystal system: tetragonal